No. 1
First-principles (PBE) data for a relaxed UMn crystal, as listed in Alexandria via LeMat-Bulk.

Results
* total magnetic moment: 0.00 μB/cell
* total DFT energy (no corrections): -10.21 eV per atom
* DOS at the Fermi energy: 1.5233 states/eV/atom

Unit cell a=3.6977 b=4.3361 c=4.3203 alpha=90.00 beta=106.72 gamma=90.00
Space group P2_1/m (No. 11)
One atom of each set of equivalent atoms:
U 0.0354 0.2500 0.3099
Mn 0.4432 0.7500 0.1433

No. 2
First-principles (PBE) data for a relaxed LiMgP4 crystal, as listed in Alexandria via LeMat-Bulk.

Results
* total magnetic moment: 0.00 μB/cell
* total DFT energy (no corrections): -4.07 eV per atom
* DOS at the Fermi energy: 0.3970 states/eV/atom

Unit cell a=7.2565 b=7.2565 c=7.2565 alpha=90.00 beta=90.00 gamma=90.00
Space group F-43m (No. 216)
One atom of each set of equivalent atoms:
Li 0.0000 0.0000 0.0000
Mg 0.2500 0.2500 0.7500
P 0.1246 0.1246 0.3754

No. 3
First-principles (PBE) data for a relaxed Pm3PbSeN crystal, as listed in Alexandria via LeMat-Bulk.

Results
* total magnetic moment: 0.00 μB/cell
* E_form (uncorrected): -1191 meV per atom
* DOS at the Fermi energy: 0.2786 states/eV/atom

Unit cell a=9.2123 b=4.1408 c=9.4799 alpha=90.00 beta=101.68 gamma=90.00
Space group P2_1/m (No. 11)
One atom of each set of equivalent atoms:
Pm 0.0804 0.2500 0.3404
Pm 0.3458 0.2500 0.9883
Pm 0.3915 0.7500 0.6589
Pb 0.3230 0.7500 0.2878
Se 0.1486 0.2500 0.6562
N 0.4105 0.7500 0.8969